(P)
Here is a relaxed structure of CoBiSCl2 from Alexandria. Energies are from PBE-GGA.

## Properties
* density of states at the Fermi level: 9.3 states/eV per cell
* total magnetic moment: 2.3 μB/cell
* theoretical density: 3.9 g/cm3

Cell lengths 5.3614, 5.3614, 5.4312 Å; angles 90.00, 90.00, 90.00 degrees
Closest atoms and distances in Å follow each position.
Positions (direct):
Co 0.0000 0.0000 0.0000  4 S 3.79, 8 Cl 3.82
Bi 0.5000 0.5000 0.5000  4 Cl 2.68, 2 S 2.72
S 0.5000 0.5000 0.0000  2 Bi 2.72
Cl 0.0000 0.5000 0.5000  2 Bi 2.68
Cl 0.5000 0.0000 0.5000  2 Bi 2.68

***

(Q)
Here is a relaxed structure of CoBiSCl2 from Alexandria. Energies are from PBE-GGA.

## Properties
* density of states at the Fermi level: 4.3 states/eV per cell
* total magnetic moment: 1.0 μB/cell
* theoretical density: 6.3 g/cm3

Cell lengths 4.5580, 4.5580, 4.7429 Å; angles 90.00, 90.00, 90.00 degrees
Closest atoms and distances in Å follow each position.
Positions (direct):
Co 0.0000 0.0000 0.0000  4 Cl 2.28, 2 S 2.37
Bi 0.5000 0.5000 0.5000  4 S 3.22, 8 Cl 3.29
S 0.0000 0.0000 0.5000  2 Co 2.37
Cl 0.0000 0.5000 0.0000  2 Co 2.28
Cl 0.5000 0.0000 0.0000  2 Co 2.28

***

Unit: kJ/mol of atoms. Relative energies: (P) 52.1; (Q) 0.0.

***

(P)
Here is a relaxed structure of CrBi2Cl2 from Alexandria. Energies are from PBE-GGA.

## Properties
* density of states at the Fermi level: 0.4 states/eV per cell
* total magnetic moment: 8.0 μB/cell
* theoretical density: 5.9 g/cm3

Cell lengths 7.4597, 7.4597, 5.4466 Å; angles 90.00, 90.00, 90.00 degrees
Closest atoms and distances in Å follow each position.
Positions (direct):
Cr 0.0000 0.0000 0.0000  4 Bi 2.84
Cr 0.5000 0.5000 0.0000  4 Bi 2.84
Bi 0.1491 0.3509 0.0000  2 Cl 2.77, 2 Cr 2.84
Bi 0.3509 0.8509 0.0000  2 Cl 2.77, 2 Cr 2.84
Bi 0.6491 0.1491 0.0000  2 Cl 2.77, 2 Cr 2.84
Bi 0.8509 0.6491 0.0000  2 Cl 2.77, 2 Cr 2.84
Cl 0.1951 0.3049 0.5000  2 Bi 2.77
Cl 0.3049 0.8049 0.5000  2 Bi 2.77
Cl 0.6951 0.1951 0.5000  2 Bi 2.77
Cl 0.8049 0.6951 0.5000  2 Bi 2.77

***

(Q)
Here is a relaxed structure of CrBi2Cl2 from Alexandria. Energies are from PBE-GGA.

## Properties
* density of states at the Fermi level: 11.2 states/eV per cell
* total magnetic moment: 0.2 μB/cell
* theoretical density: 7.0 g/cm3

Cell lengths 3.6227, 3.6227, 19.5720 Å; angles 90.00, 90.00, 90.00 degrees
Closest atoms and distances in Å follow each position.
Positions (direct):
Cr 0.0000 0.0000 0.0000  8 Bi 2.99
Cr 0.5000 0.5000 0.5000  8 Bi 2.99
Bi 0.0000 0.0000 0.4208  4 Cr 2.99, 1 Bi 3.10
Bi 0.0000 0.0000 0.5792  4 Cr 2.99, 1 Bi 3.10
Bi 0.5000 0.5000 0.0792  4 Cr 2.99, 1 Bi 3.10
Bi 0.5000 0.5000 0.9208  4 Cr 2.99, 1 Bi 3.10
Cl 0.0000 0.5000 0.2500  4 Cl 2.56
Cl 0.0000 0.5000 0.7500  4 Cl 2.56
Cl 0.5000 0.0000 0.2500  4 Cl 2.56
Cl 0.5000 0.0000 0.7500  4 Cl 2.56

***

Unit: kJ/mol of atoms. Relative energies: (P) 0.0; (Q) 57.2.

***

(P)
Here is a relaxed structure of CrBi2Cl from Alexandria. Energies are from PBE-GGA.

## Properties
* density of states at the Fermi level: 4.8 states/eV per cell
* total magnetic moment: 11.3 μB/cell
* theoretical density: 6.3 g/cm3

Cell lengths 5.6842, 5.6842, 16.5849 Å; angles 90.00, 90.00, 90.00 degrees
Closest atoms and distances in Å follow each position.
Positions (direct):
Cr 0.0000 0.0000 0.0000  4 Bi 2.72
Cr 0.0000 0.5000 0.2500  4 Bi 2.72
Cr 0.5000 0.0000 0.7500  4 Bi 2.72
Cr 0.5000 0.5000 0.5000  4 Bi 2.72
Bi 0.1846 0.2500 0.1250  2 Cr 2.72
Bi 0.2500 0.6846 0.3750  2 Cr 2.72
Bi 0.2500 0.8154 0.8750  2 Cr 2.72
Bi 0.3154 0.2500 0.6250  2 Cr 2.72
Bi 0.6846 0.7500 0.6250  2 Cr 2.72
Bi 0.7500 0.1846 0.8750  2 Cr 2.72
Bi 0.7500 0.3154 0.3750  2 Cr 2.72
Bi 0.8154 0.7500 0.1250  2 Cr 2.72
Cl 0.0000 0.0000 0.5000  4 Bi 3.09
Cl 0.0000 0.5000 0.7500  4 Bi 3.09
Cl 0.5000 0.0000 0.2500  4 Bi 3.09
Cl 0.5000 0.5000 0.0000  4 Bi 3.09

***

(Q)
Here is a relaxed structure of CrBi2Cl from Alexandria. Energies are from PBE-GGA.

## Properties
* density of states at the Fermi level: 16.0 states/eV per cell
* total magnetic moment: 17.5 μB/cell
* theoretical density: 8.5 g/cm3

Cell lengths 7.3363, 7.3363, 7.3363 Å; angles 90.00, 90.00, 90.00 degrees
Closest atoms and distances in Å follow each position.
Positions (direct):
Cr 0.0000 0.0000 0.0000  8 Bi 3.18
Cr 0.0000 0.5000 0.5000  8 Bi 3.18
Cr 0.5000 0.0000 0.5000  8 Bi 3.18
Cr 0.5000 0.5000 0.0000  8 Bi 3.18
Bi 0.2500 0.2500 0.2500  4 Cr 3.18, 4 Cl 3.18
Bi 0.2500 0.2500 0.7500  4 Cr 3.18, 4 Cl 3.18
Bi 0.2500 0.7500 0.2500  4 Cr 3.18, 4 Cl 3.18
Bi 0.2500 0.7500 0.7500  4 Cr 3.18, 4 Cl 3.18
Bi 0.7500 0.2500 0.2500  4 Cr 3.18, 4 Cl 3.18
Bi 0.7500 0.2500 0.7500  4 Cr 3.18, 4 Cl 3.18
Bi 0.7500 0.7500 0.2500  4 Cr 3.18, 4 Cl 3.18
Bi 0.7500 0.7500 0.7500  4 Cr 3.18, 4 Cl 3.18
Cl 0.0000 0.0000 0.5000  8 Bi 3.18
Cl 0.0000 0.5000 0.0000  8 Bi 3.18
Cl 0.5000 0.0000 0.0000  8 Bi 3.18
Cl 0.5000 0.5000 0.5000  8 Bi 3.18

***

Unit: kJ/mol of atoms. Relative energies: (P) 9.4; (Q) 0.0.

***

(P)
Here is a relaxed structure of CrHgBiCl2 from Alexandria. Energies are from PBE-GGA.

## Properties
* density of states at the Fermi level: 5.2 states/eV per cell
* total magnetic moment: 4.0 μB/cell
* theoretical density: 5.6 g/cm3

Cell lengths 5.0620, 5.0620, 6.1881 Å; angles 90.00, 90.00, 90.00 degrees
Closest atoms and distances in Å follow each position.
Positions (direct):
Cr 0.0000 0.0000 0.0000  4 Bi 3.58, 8 Cl 4.00
Hg 0.5000 0.5000 0.5000  4 Cl 2.53
Bi 0.5000 0.5000 0.0000  2 Hg 3.09
Cl 0.0000 0.5000 0.5000  2 Hg 2.53
Cl 0.5000 0.0000 0.5000  2 Hg 2.53

***

(Q)
Here is a relaxed structure of CrHgBiCl2 from Alexandria. Energies are from PBE-GGA.

## Properties
* density of states at the Fermi level: 0.5 states/eV per cell
* total magnetic moment: 5.0 μB/cell
* theoretical density: 5.2 g/cm3

Cell lengths 5.4972, 5.4972, 5.6792 Å; angles 90.00, 90.00, 90.00 degrees
Closest atoms and distances in Å follow each position.
Positions (direct):
Cr 0.0000 0.0000 0.0000  2 Bi 2.84
Hg 0.5000 0.5000 0.0000  4 Cr 3.89, 8 Cl 3.95
Bi 0.0000 0.0000 0.5000  4 Cl 2.75, 2 Cr 2.84
Cl 0.0000 0.5000 0.5000  2 Bi 2.75
Cl 0.5000 0.0000 0.5000  2 Bi 2.75

***

Unit: kJ/mol of atoms. Relative energies: (P) 43.1; (Q) 0.0.

***

(P)
Here is a relaxed structure of CrBiP2Cl from Alexandria. Energies are from PBE-GGA.

## Properties
* density of states at the Fermi level: 3.8 states/eV per cell
* total magnetic moment: 0.7 μB/cell
* theoretical density: 4.1 g/cm3

Cell lengths 5.2882, 5.2882, 5.2190 Å; angles 90.00, 90.00, 90.00 degrees
Closest atoms and distances in Å follow each position.
Positions (direct):
Cr 0.0000 0.0000 0.0000  8 P 3.71, 4 Cl 3.74
Bi 0.5000 0.5000 0.5000  2 Cl 2.61, 4 P 2.64
P 0.0000 0.5000 0.5000  2 Bi 2.64
P 0.5000 0.0000 0.5000  2 Bi 2.64
Cl 0.5000 0.5000 0.0000  2 Bi 2.61

***

(Q)
Here is a relaxed structure of CrBiP2Cl from Alexandria. Energies are from PBE-GGA.

## Properties
* density of states at the Fermi level: 2.5 states/eV per cell
* total magnetic moment: 2.6 μB/cell
* theoretical density: 5.8 g/cm3

Cell lengths 4.7131, 4.7131, 4.6405 Å; angles 90.00, 90.00, 90.00 degrees
Closest atoms and distances in Å follow each position.
Positions (direct):
Cr 0.0000 0.0000 0.0000  2 Cl 2.32, 4 P 2.36
Bi 0.5000 0.5000 0.5000  8 P 3.31, 4 Cl 3.33
P 0.0000 0.5000 0.0000  2 Cr 2.36
P 0.5000 0.0000 0.0000  2 Cr 2.36
Cl 0.0000 0.0000 0.5000  2 Cr 2.32

***

Unit: kJ/mol of atoms. Relative energies: (P) 128.4; (Q) 0.0.